No. 1
Computed, not measured: an optimized crystal structure of CsTcPb2 at the PBE level of DFT.

Output
V (Å³ per cell): 384
Uncorrected energy (eV per atom): -4.20
Spin magnetization (μB per atom): 0.00

Cell: 7.169 7.169 9.034 Å, 66.62 66.62 90.00°
Sites, in units of the cell vectors:
Pb 0.376 0.125 0.250
Pb 0.374 0.625 0.250
Pb 0.375 0.624 0.750
Pb 0.875 0.626 0.750
Cs 0.000 0.000 0.000
Cs 0.750 0.250 0.500
Tc 0.500 0.500 0.000
Tc 0.250 0.750 0.500

No. 2
Computed, not measured: an optimized crystal structure of HfCr2Fe at the PBE level of DFT.

Output
V (Å³ per cell): 53
Uncorrected energy (eV per atom): -9.13
Spin magnetization (μB per atom): 0.00

Cell: 4.229 4.229 4.229 Å, 60.00 60.00 60.00°
Sites, in units of the cell vectors:
Cr 0.250 0.250 0.250
Cr 0.750 0.750 0.750
Hf 0.500 0.500 0.500
Fe 0.000 0.000 0.000

No. 3
Computed, not measured: an optimized crystal structure of Mg2In2Ga at the PBE level of DFT.

Output
V (Å³ per cell): 241
Uncorrected energy (eV per atom): -2.30
Spin magnetization (μB per atom): 0.00

Cell: 8.672 8.672 3.211 Å, 90.00 90.00 90.00°
Sites, in units of the cell vectors:
Mg 0.169 0.669 0.500
Mg 0.669 0.831 0.500
Mg 0.831 0.331 0.500
Mg 0.331 0.169 0.500
Ga 0.000 0.000 0.000
Ga 0.500 0.500 0.000
In 0.370 0.870 0.000
In 0.870 0.630 0.000
In 0.630 0.130 0.000
In 0.130 0.370 0.000

No. 4
Computed, not measured: an optimized crystal structure of ThW2C2 at the PBE level of DFT.

Output
V (Å³ per cell): 152
Uncorrected energy (eV per atom): -10.32
Spin magnetization (μB per atom): 0.00

Cell: 5.802 5.802 5.868 Å, 111.91 111.91 104.18°
Sites, in units of the cell vectors:
Th 0.875 0.625 0.750
Th 0.125 0.375 0.250
W 0.232 0.982 0.464
W 0.482 0.732 0.964
W 0.768 0.018 0.536
W 0.518 0.268 0.036
C 0.175 0.325 0.750
C 0.425 0.075 0.250
C 0.575 0.925 0.750
C 0.825 0.675 0.250

No. 5
Computed, not measured: an optimized crystal structure of Ba2LiZnAg2 at the PBE level of DFT.

Output
V (Å³ per cell): 362
Uncorrected energy (eV per atom): -2.32
Spin magnetization (μB per atom): 0.00

Cell: 6.698 6.930 9.159 Å, 112.23 111.45 90.00°
Sites, in units of the cell vectors:
Ba 0.405 0.161 0.323
Ba 0.595 0.839 0.677
Ba 0.082 0.339 0.677
Ba 0.918 0.661 0.323
Li 0.500 0.750 0.000
Li 0.500 0.250 0.000
Zn 0.000 0.750 0.000
Zn 0.000 0.250 0.000
Ag 0.845 0.092 0.183
Ag 0.338 0.592 0.183
Ag 0.662 0.408 0.817
Ag 0.155 0.908 0.817

No. 6
Computed, not measured: an optimized crystal structure of MgTaAl2 at the PBE level of DFT.

Output
V (Å³ per cell): 69
Uncorrected energy (eV per atom): -4.91
Spin magnetization (μB per atom): 0.05

Cell: 4.613 4.613 4.613 Å, 60.00 60.00 60.00°
Sites, in units of the cell vectors:
Al 0.000 0.000 0.000
Al 0.250 0.250 0.250
Mg 0.500 0.500 0.500
Ta 0.750 0.750 0.750